1.
## TaAlAg2 (PBE-GGA)

Data for a geometry-optimized TaAlAg2 structure.

Values from the calculation:
* calculated total energy: -5.16 eV/atom
* calculated formation energy: 15.4 kJ/mol of atoms
* symmetry: P4/mmm
* E above lowest polymorph: 183 meV per atom

Cell lengths 2.9643, 2.9643, 7.7469 Å; angles 90.00, 90.00, 90.00 degrees
Closest atoms and distances in Å follow each position.
Element x y z (fractional)
Ta 0.5000 0.5000 0.7500  8 Ag 2.96, 4 Ta 2.96
Ag 0.0000 0.0000 0.0191  4 Al 2.76, 4 Ta 2.96, 4 Ag 2.96
Ag 0.0000 0.0000 0.4809  4 Al 2.76, 4 Ta 2.96, 4 Ag 2.96
Al 0.5000 0.5000 0.2500  8 Ag 2.76, 4 Al 2.96

---

2.
## Ta2AlAgTe (PBE-GGA)

Data for a geometry-optimized Ta2AlAgTe structure.

Values from the calculation:
* calculated total energy: -4.83 eV/atom
* symmetry: P4/mmm
* uncorrected formation energy: 42.8 kcal/mol of atoms

Cell lengths 5.0175, 5.2329, 5.0175 Å; angles 90.00, 90.00, 90.00 degrees
Closest atoms and distances in Å follow each position.
Element x y z (fractional)
Al 0.5000 0.5000 0.5000  4 Te 3.55, 8 Ta 3.62
Ta 0.5000 0.0000 0.0000  2 Ag 2.51
Ta 0.0000 0.0000 0.5000  2 Ag 2.51
Te 0.0000 0.5000 0.0000  2 Ag 2.62
Ag 0.0000 0.0000 0.0000  4 Ta 2.51, 2 Te 2.62

---

3.
## TbAl4Ag8 (PBE-GGA)

Data for a geometry-optimized TbAl4Ag8 structure.

Values from the calculation:
* calculated total energy: -3.46 eV/atom
* calculated formation energy: -18.8 kJ/mol of atoms
* symmetry: I4/mmm

Cell lengths 5.3838, 7.1273, 7.1273 Å; angles 81.80, 67.81, 67.81 degrees
Closest atoms and distances in Å follow each position.
Element x y z (fractional)
Al 0.0000 0.5000 0.0000  2 Al 2.69, 8 Ag 2.71-2.83
Al 0.0000 0.0000 0.5000  2 Al 2.69, 8 Ag 2.71-2.83
Al 0.5000 0.5000 0.0000  2 Al 2.69, 8 Ag 2.71-2.83
Al 0.5000 0.0000 0.5000  2 Al 2.69, 8 Ag 2.71-2.83
Ag 0.7164 0.7836 0.7836  4 Al 2.71, 6 Ag 2.86-3.03
Ag 0.0000 0.3424 0.6576  4 Al 2.83, 5 Ag 2.94-3.03
Ag 0.2836 0.2164 0.2164  4 Al 2.71, 6 Ag 2.86-3.03
Ag 0.0000 0.6576 0.3424  4 Al 2.83, 5 Ag 2.94-3.03
Ag 0.5000 0.7836 0.2164  4 Al 2.71, 6 Ag 2.86-3.03
Ag 0.3424 0.6576 0.6576  4 Al 2.83, 5 Ag 2.94-3.03
Ag 0.6576 0.3424 0.3424  4 Al 2.83, 5 Ag 2.94-3.03
Ag 0.5000 0.2164 0.7836  4 Al 2.71, 6 Ag 2.86-3.03
Tb 0.0000 0.0000 0.0000  12 Ag 3.20-3.37, 8 Al 3.56

---

4.
## Tb2Al3Ag5 (PBE-GGA)

Data for a geometry-optimized Tb2Al3Ag5 structure.

Values from the calculation:
* calculated total energy: -3.73 eV/atom
* calculated formation energy: -24.2 kJ/mol of atoms
* symmetry: Ibam
* E above lowest polymorph: 16 meV per atom

Cell lengths 5.9521, 8.8265, 8.8265 Å; angles 83.85, 70.30, 70.30 degrees
Closest atoms and distances in Å follow each position.
Element x y z (fractional)
Ag 0.7500 0.5000 0.5000  4 Al 2.62
Ag 0.1070 0.0477 0.7383  3 Al 2.54-2.67, 2 Ag 2.83
Ag 0.9915 0.7585 0.7585  3 Al 2.62-2.83, 2 Ag 2.83
Ag 0.6070 0.7383 0.0477  3 Al 2.54-2.67, 2 Ag 2.83
Ag 0.4915 0.7585 0.7585  3 Al 2.62-2.83, 2 Ag 2.83
Ag 0.8930 0.9523 0.2617  3 Al 2.54-2.67, 2 Ag 2.83
Ag 0.2500 0.5000 0.5000  4 Al 2.62
Ag 0.3930 0.2617 0.9523  3 Al 2.54-2.67, 2 Ag 2.83
Ag 0.0085 0.2415 0.2415  3 Al 2.62-2.83, 2 Ag 2.83
Ag 0.5085 0.2415 0.2415  3 Al 2.62-2.83, 2 Ag 2.83
Tb 0.1316 0.6050 0.1318  4 Ag 3.07-3.25, 4 Al 3.21-3.30
Tb 0.8684 0.3950 0.8682  4 Ag 3.07-3.25, 4 Al 3.21-3.30
Tb 0.3684 0.8682 0.3950  4 Ag 3.07-3.25, 4 Al 3.21-3.30
Tb 0.6316 0.1318 0.6050  4 Ag 3.07-3.25, 4 Al 3.21-3.30
Al 0.1292 0.2400 0.5016  5 Ag 2.54-2.62
Al 0.3708 0.4984 0.7600  5 Ag 2.54-2.62
Al 0.8708 0.7600 0.4984  5 Ag 2.54-2.62
Al 0.6292 0.5016 0.2400  5 Ag 2.54-2.62
Al 0.2500 0.0000 0.0000  6 Ag 2.67-2.83, 2 Al 2.98
Al 0.7500 0.0000 0.0000  6 Ag 2.67-2.83, 2 Al 2.98

---

5.
## TbAl4Ag (PBE-GGA)

Data for a geometry-optimized TbAl4Ag structure.

Values from the calculation:
* calculated total energy: -3.90 eV/atom
* calculated formation energy: -15.0 kJ/mol of atoms
* symmetry: F-43m
* E above lowest polymorph: 64 meV per atom

Cell lengths 5.4833, 5.4833, 5.4833 Å; angles 60.00, 60.00, 60.00 degrees
Closest atoms and distances in Å follow each position.
Element x y z (fractional)
Al 0.1276 0.6241 0.6241  6 Al 2.72-2.76
Al 0.6241 0.1276 0.6241  6 Al 2.72-2.76
Al 0.6241 0.6241 0.6241  6 Al 2.72-2.76
Al 0.6241 0.6241 0.1276  6 Al 2.72-2.76
Ag 0.0000 0.0000 0.0000  12 Al 3.22, 4 Tb 3.36
Tb 0.2500 0.2500 0.2500  12 Al 3.21, 4 Ag 3.36

---

6.
## Tb8AlAg2 (PBE-GGA)

Data for a geometry-optimized Tb8AlAg2 structure.

Values from the calculation:
* calculated total energy: -4.26 eV/atom
* calculated formation energy: -3.4 kJ/mol of atoms
* symmetry: C2/m
* E above lowest polymorph: 108 meV per atom

Cell lengths 5.3900, 8.4142, 8.4142 Å; angles 118.33, 100.11, 100.11 degrees
Closest atoms and distances in Å follow each position.
Element x y z (fractional)
Al 0.5000 0.0000 0.0000  8 Tb 3.17-3.53
Ag 0.0000 0.3042 0.6958  8 Tb 2.95-3.25
Ag 0.0000 0.6958 0.3042  8 Tb 2.95-3.25
Tb 0.5000 0.2213 0.7787  2 Ag 2.95, 1 Al 3.20
Tb 0.8977 0.9059 0.6779  2 Ag 3.00-3.23, 1 Tb 3.29
Tb 0.8977 0.6779 0.9059  2 Ag 3.00-3.23, 1 Tb 3.29
Tb 0.1023 0.3221 0.0941  2 Ag 3.00-3.23, 1 Tb 3.29
Tb 0.6945 0.3909 0.3909  1 Al 3.17, 6 Tb 3.19-3.52, 2 Ag 3.25
Tb 0.1023 0.0941 0.3221  2 Ag 3.00-3.23, 1 Tb 3.29
Tb 0.5000 0.7787 0.2213  2 Ag 2.95, 1 Al 3.20
Tb 0.3055 0.6091 0.6091  1 Al 3.17, 6 Tb 3.19-3.52, 2 Ag 3.25

---

Which formula does entry 3 have?
TbAl4Ag8

---

Which of these has the highest calculated total energy?
TbAl4Ag8

---

calculated total energy of number 1 (TaAlAg2)?
-5.16 eV/atom